A plane-wave DFT calculation with PBE with a Hubbard U was carried out for a geometry-optimized TiFeReO2 structure.

The structure in CIF format:
```
data_TiFeReO2
_chemical_formula_sum 'Ti1 Fe1 Re1 O2'
_cell_length_a 3.8090
_cell_length_b 5.5045
_cell_length_c 3.8090
_cell_angle_alpha 90.00
_cell_angle_beta 90.00
_cell_angle_gamma 90.00
_symmetry_space_group_name_H-M 'P 1'
_symmetry_Int_Tables_number 1
_symmetry_space_group_name_Hall 'P 1'
loop_
_atom_site_label
_atom_site_type_symbol
_atom_site_fract_x
_atom_site_fract_y
_atom_site_fract_z
Fe1 Fe 0.5000 0.5000 0.5000
Ti1 Ti 0.0000 0.5000 0.0000
O1 O 0.0000 0.0000 0.5000
Re1 Re 0.0000 0.0000 0.0000
O2 O 0.5000 0.0000 0.0000
```

Results
Total magnetic moment in μB/f.u.: 2.0
N(E_F) in states/eV/atom: 1.046
Energy in eV/cell: -36.75